1.
# LiIn3S

LiIn3S after structural relaxation (PBE, Alexandria via LeMat-Bulk).

abc: 4.9959 4.9959 4.9959
angles: 90.00 90.00 90.00
Fractional coordinates of all 5 atoms:
S: 0.5000 0.5000 0.5000
In: 0.0000 0.5000 0.0000
In: 0.5000 0.0000 0.0000
In: 0.0000 0.0000 0.5000
Li: 0.0000 0.0000 0.0000

Values from the calculation:
For the total magnetic moment, the calculation gives 0.0 μB/cell. Its excess energy over the best structure of this formula in the dataset is 0.000 eV/atom. The calculated total energy comes out at -2.701 eV per atom. The density of states at the Fermi level comes out at 1.0 states/eV/f.u. The value obtained for the uncorrected formation energy is 0.151 eV per atom.

---

2.
# LiInS

LiInS after structural relaxation (PBE, Alexandria via LeMat-Bulk).

abc: 3.7343 8.1287 4.4782
angles: 90.00 90.00 90.00
Fractional coordinates of all 6 atoms:
Li: 0.5000 0.5409 0.5000
Li: 0.0000 0.4591 0.0000
S: 0.0000 0.3388 0.5000
S: 0.5000 0.6612 0.0000
In: 0.5000 0.0988 0.5000
In: 0.0000 0.9012 0.0000

Values from the calculation:
For the total magnetic moment, the calculation gives 0.0 μB/cell. Its excess energy over the best structure of this formula in the dataset is 0.007 eV/atom. The calculated total energy comes out at -3.699 eV per atom. The density of states at the Fermi level comes out at 0.5 states/eV/f.u. The value obtained for the uncorrected formation energy is -0.772 eV per atom.

---

3.
# Li2InS2

Li2InS2 after structural relaxation (PBE, Alexandria via LeMat-Bulk).

abc: 7.2189 7.2189 3.5549
angles: 90.00 90.00 90.00
Fractional coordinates of all 10 atoms:
S: 0.8198 0.6802 0.0000
S: 0.6802 0.1802 0.0000
S: 0.3198 0.8198 0.0000
S: 0.1802 0.3198 0.0000
Li: 0.1382 0.6382 0.5000
Li: 0.6382 0.8618 0.5000
Li: 0.3618 0.1382 0.5000
Li: 0.8618 0.3618 0.5000
In: 0.5000 0.5000 0.0000
In: 0.0000 0.0000 0.0000

Values from the calculation:
For the total magnetic moment, the calculation gives 0.0 μB/cell. The calculated total energy comes out at -3.686 eV per atom. The density of states at the Fermi level comes out at 2.0 states/eV/f.u. The value obtained for the uncorrected formation energy is -0.722 eV per atom.

---

4.
# LiInS

LiInS after structural relaxation (PBE, Alexandria via LeMat-Bulk).

abc: 4.0307 4.0307 16.5861
angles: 90.00 90.00 90.00
Fractional coordinates of all 12 atoms:
In: 0.0000 0.0000 0.1962
In: 0.5000 0.5000 0.3038
In: 0.5000 0.5000 0.6962
In: 0.0000 0.0000 0.8038
Li: 0.0000 0.0000 0.0000
Li: 0.5000 0.5000 0.0000
Li: 0.5000 0.5000 0.5000
Li: 0.0000 0.0000 0.5000
S: 0.0000 0.5000 0.4169
S: 0.5000 0.0000 0.5831
S: 0.5000 0.0000 0.9169
S: 0.0000 0.5000 0.0831

Values from the calculation:
For the total magnetic moment, the calculation gives 0.0 μB/cell. Its excess energy over the best structure of this formula in the dataset is 0.030 eV/atom. The calculated total energy comes out at -3.675 eV per atom. The density of states at the Fermi level comes out at 0.4 states/eV/f.u. The value obtained for the uncorrected formation energy is -0.749 eV per atom.

---

5.
# LiInS

LiInS after structural relaxation (PBE, Alexandria via LeMat-Bulk).

abc: 4.1476 4.1476 26.5334
angles: 90.00 90.00 120.00
Fractional coordinates of all 18 atoms:
S: 0.3333 0.6667 0.2722
S: 0.6667 0.3333 0.7278
S: 0.0000 0.0000 0.6056
S: 0.6667 0.3333 0.9389
S: 0.3333 0.6667 0.0611
S: 0.0000 0.0000 0.3944
In: 0.6667 0.3333 0.2100
In: 0.3333 0.6667 0.7900
In: 0.3333 0.6667 0.5433
In: 0.0000 0.0000 0.8766
In: 0.0000 0.0000 0.1234
In: 0.6667 0.3333 0.4567
Li: 0.6667 0.3333 0.0327
Li: 0.0000 0.0000 0.6993
Li: 0.3333 0.6667 0.3660
Li: 0.0000 0.0000 0.3007
Li: 0.6667 0.3333 0.6340
Li: 0.3333 0.6667 0.9673

Values from the calculation:
For the total magnetic moment, the calculation gives 0.0 μB/cell. Its excess energy over the best structure of this formula in the dataset is 0.000 eV/atom. The calculated total energy comes out at -3.706 eV per atom. The value obtained for the uncorrected formation energy is -0.779 eV per atom.

---

6.
# LiIn2S3

LiIn2S3 after structural relaxation (PBE, Alexandria via LeMat-Bulk).

abc: 6.9830 6.9830 13.8124
angles: 100.87 100.87 104.70
Fractional coordinates of all 24 atoms:
In: 0.7007 0.2993 0.5000
In: 0.9507 0.0493 0.0000
In: 0.1534 0.8466 0.5000
In: 0.8167 0.4770 0.8437
In: 0.5230 0.1833 0.1563
In: 0.4034 0.5966 0.0000
In: 0.7230 0.8833 0.6563
In: 0.1167 0.2770 0.3437
S: 0.6175 0.5535 0.1586
S: 0.3552 0.7911 0.6586
S: 0.7422 0.1001 0.2949
S: 0.2625 0.2236 0.5139
S: 0.1973 0.0552 0.2051
S: 0.8999 0.2578 0.7051
S: 0.4465 0.3825 0.8414
S: 0.0402 0.5014 0.0139
S: 0.7764 0.7375 0.4861
S: 0.2089 0.6448 0.3414
S: 0.4986 0.9598 0.9861
S: 0.9448 0.8027 0.7949
Li: 0.3104 0.9992 0.8199
Li: 0.2404 0.4292 0.6801
Li: 0.0008 0.6896 0.1801
Li: 0.5708 0.7596 0.3199

Values from the calculation:
For the total magnetic moment, the calculation gives 0.0 μB/cell. Its excess energy over the best structure of this formula in the dataset is 0.000 eV/atom. The calculated total energy comes out at -4.018 eV per atom. The value obtained for the uncorrected formation energy is -0.723 eV per atom.

---

7.
# Li2ScInS4

Li2ScInS4 after structural relaxation (PBE, Alexandria via LeMat-Bulk).

abc: 3.7297 6.4802 6.5303
angles: 109.54 90.00 90.00
Fractional coordinates of all 8 atoms:
Sc: 0.5000 0.5000 0.0000
S: 0.0000 0.2601 0.7566
S: 0.5000 0.2497 0.2432
S: 0.0000 0.7399 0.2434
S: 0.5000 0.7503 0.7568
Li: 0.5000 0.0000 0.5000
Li: 0.0000 0.5000 0.5000
In: 0.0000 0.0000 0.0000

Values from the calculation:
For the total magnetic moment, the calculation gives 0.0 μB/cell. The calculated total energy comes out at -4.981 eV per atom. The value obtained for the uncorrected formation energy is -1.305 eV per atom.

---

8.
# LiScIn4S8

LiScIn4S8 after structural relaxation (PBE, Alexandria via LeMat-Bulk).

abc: 7.6964 7.6964 7.6644
angles: 59.86 59.86 60.00
Fractional coordinates of all 14 atoms:
In: 0.0055 0.0055 0.5080
In: 0.6229 0.6229 0.1314
In: 0.0055 0.4811 0.5080
In: 0.4811 0.0055 0.5080
S: 0.2439 0.2439 0.2684
S: 0.7630 0.2212 0.2529
S: 0.2212 0.7630 0.2529
S: 0.7643 0.2428 0.7502
S: 0.7630 0.7630 0.2529
S: 0.2428 0.7643 0.7502
S: 0.2428 0.2428 0.7502
S: 0.7592 0.7592 0.7223
Sc: 0.0094 0.0094 0.9717
Li: 0.3757 0.3757 0.8729

Values from the calculation:
For the total magnetic moment, the calculation gives 0.0 μB/cell. The calculated total energy comes out at -4.622 eV per atom. The value obtained for the uncorrected formation energy is -0.892 eV per atom.